<one>
Entry from Alexandria via LeMat-Bulk: Cr3InGe after structural relaxation (PBE).

Cell lengths 5.0519, 5.0519, 5.0519 Å; angles 90.00, 90.00, 90.00 degrees
Closest atoms and distances in Å follow each position.
Element x y z (fractional)
Cr: 0.0000 0.0000 0.5000  2 In 2.53
Cr: 0.0000 0.5000 0.0000  2 In 2.53
Cr: 0.5000 0.0000 0.0000  2 In 2.53
In: 0.0000 0.0000 0.0000  6 Cr 2.53
Ge: 0.5000 0.5000 0.5000  12 Cr 3.57

Calculated values
Space group: Pm-3m (221)
ρ, g/cm3: 4.42

---

<two>
Entry from Alexandria via LeMat-Bulk: Cr3InGe after structural relaxation (PBE).

Cell lengths 4.6104, 4.6104, 4.6104 Å; angles 90.00, 90.00, 90.00 degrees
Closest atoms and distances in Å follow each position.
Element x y z (fractional)
Cr: 0.0000 0.0000 0.5000  2 Ge 2.31
Cr: 0.0000 0.5000 0.0000  2 Ge 2.31
Cr: 0.5000 0.0000 0.0000  2 Ge 2.31
In: 0.5000 0.5000 0.5000  12 Cr 3.26
Ge: 0.0000 0.0000 0.0000  6 Cr 2.31

Calculated values
Space group: Pm-3m (221)
ρ, g/cm3: 5.82

---

Winner for stability: <two>